(1)
Crystalline Ac2MgZnCd6 at its relaxed geometry. Source: the Alexandria database, functional GGA-PBE.

Cell lengths 7.2314, 7.3064, 7.4123 Å; angles 58.35, 60.44, 89.46 degrees
Atoms (fractional coordinates):
Ac (0.1910, 0.8116, 0.6192)
Ac (0.8090, 0.1884, 0.3808)
Mg (0.5000, 0.5000, 0.0000)
Zn (0.0000, 0.0000, 0.0000)
Cd (0.1535, 0.6639, 0.2071)
Cd (0.6439, 0.8438, 0.0249)
Cd (0.3354, 0.3574, 0.5099)
Cd (0.8465, 0.3361, 0.7929)
Cd (0.3561, 0.1562, 0.9751)
Cd (0.6646, 0.6426, 0.4901)

Results
D(E_F)   5.6 states/eV/cell
DFT formation energy   -146 meV per atom
Raw total energy   -1.804 eV/atom

***

(2)
Crystalline AcMgZn2Cd8 at its relaxed geometry. Source: the Alexandria database, functional GGA-PBE.

Cell lengths 5.2781, 5.2781, 11.7980 Å; angles 105.23, 105.23, 66.51 degrees
Atoms (fractional coordinates):
Ac (0.0000, 0.0000, 0.5000)
Mg (0.0000, 0.0000, 0.0000)
Zn (0.6163, 0.6163, 0.4071)
Zn (0.3837, 0.3837, 0.5929)
Cd (0.7953, 0.2942, 0.7959)
Cd (0.6701, 0.6701, 0.0503)
Cd (0.7361, 0.7361, 0.6590)
Cd (0.2639, 0.2639, 0.3410)
Cd (0.3299, 0.3299, 0.9497)
Cd (0.2942, 0.7953, 0.7959)
Cd (0.7058, 0.2047, 0.2041)
Cd (0.2047, 0.7058, 0.2041)

Results
D(E_F)   4.2 states/eV/cell
DFT formation energy   -71 meV per atom
Raw total energy   -1.368 eV/atom

***

(3)
Crystalline Ac2Mg3Zn4Cd at its relaxed geometry. Source: the Alexandria database, functional GGA-PBE.

Cell lengths 4.7605, 4.7605, 10.7543 Å; angles 90.00, 90.00, 90.00 degrees
Atoms (fractional coordinates):
Ac (0.5000, 0.0000, 0.2401)
Ac (0.0000, 0.5000, 0.7599)
Mg (0.0000, 0.0000, 0.5000)
Mg (0.5000, 0.0000, 0.8796)
Mg (0.0000, 0.5000, 0.1204)
Zn (0.5000, 0.5000, 0.0000)
Zn (0.0000, 0.0000, 0.0000)
Zn (0.5000, 0.0000, 0.6342)
Zn (0.0000, 0.5000, 0.3658)
Cd (0.5000, 0.5000, 0.5000)

Results
D(E_F)   9.7 states/eV/cell
DFT formation energy   -185 meV per atom
Raw total energy   -2.086 eV/atom